Entry 1:
{"formula": "PIrAu", "functional": "PBE", "state": "relaxed", "magnetic_moment_mub_per_fu": 0.00, "e_above_lowest_polymorph_ev_per_atom": 0.396, "spacegroup": "Fmm2", "cell": [[2.589, -7.057, 2.105], [-0.127, -6.989, 2.848], [0.772, -1.273, -2.392]], "species": ["P", "Ir", "Au"], "fractional_positions": [[0.693, 0.693, 0.307], [0.318, 0.318, 0.682], [0.989, 0.989, 0.011]]}

=====

Entry 2:
{"formula": "RbBaFeBi2", "functional": "PBE", "state": "relaxed", "magnetic_moment_mub_per_fu": 3.67, "e_tot_ev_per_atom": -2.52, "spacegroup": "P4/mmm", "cell": [[6.175, 0.000, 0.000], [0.000, 6.175, 0.000], [0.000, 0.000, 6.262]], "species": ["Fe", "Bi", "Bi", "Rb", "Ba"], "fractional_positions": [[0.500, 0.500, 0.500], [0.000, 0.500, 0.000], [0.500, 0.000, 0.000], [0.000, 0.000, 0.000], [0.000, 0.000, 0.500]]}

=====

Entry 3:
{"formula": "BiRuI2N", "functional": "PBE", "state": "relaxed", "e_form_raw_ev_per_atom": 0.416, "magnetic_moment_mub_per_fu": 0.00, "e_above_lowest_polymorph_ev_per_atom": 0.000, "spacegroup": "P4/mmm", "cell": [[-3.452, -1.024, 4.448], [-4.074, -1.825, -3.581], [1.345, -3.480, 0.243]], "species": ["I", "I", "Ru", "Bi", "N"], "fractional_positions": [[0.000, 0.500, 0.000], [0.500, 0.000, 0.000], [0.000, 0.000, 0.000], [0.500, 0.500, 0.500], [0.000, 0.000, 0.500]]}

=====

Entry 4:
{"formula": "RbNaIn2Ir", "functional": "PBE", "state": "relaxed", "magnetic_moment_mub_per_fu": 0.00, "e_tot_ev_per_atom": -3.42, "spacegroup": "P4/mmm", "cell": [[-1.799, -3.459, -3.455], [4.188, 0.810, -2.991], [2.786, -4.207, 2.761]], "species": ["Na", "Ir", "Rb", "In", "In"], "fractional_positions": [[0.000, 0.000, 0.500], [0.000, 0.000, 0.000], [0.500, 0.500, 0.500], [0.000, 0.500, 0.000], [0.500, 0.000, 0.000]]}